# 1
YBe: relaxed, PBE.

Calculated values
The formation energy comes out at 3.7 kcal/mol of atoms. The offset from the most stable computed form is 0.119 eV per atom. Its density of states at the Fermi level is 10.2 states/eV per cell.

a b c (Å): 11.727 3.471 6.608
angles (deg): 90.00 115.25 90.00
Space group Cm (No. 8)
Asymmetric unit:
Y 0.000 0.000 0.000
Y 0.033 0.000 0.529
Y 0.286 0.000 0.113
Be 0.195 0.500 0.387
Be 0.245 0.500 0.738
Be 0.307 0.000 0.602


# 2
Y5Be: relaxed, PBE.

Calculated values
The formation energy comes out at 4.9 kcal/mol of atoms. The offset from the most stable computed form is 0.164 eV per atom. Its density of states at the Fermi level is 16.1 states/eV per cell.

a b c (Å): 4.743 14.842 4.809
angles (deg): 90.00 90.00 90.00
Space group Cmmm (No. 65)
Asymmetric unit:
Y 0.000 0.000 0.000
Y 0.000 0.157 0.500
Y 0.000 0.336 0.000
Be 0.000 0.500 0.500


# 3
YBe4: relaxed, PBE.

Calculated values
The formation energy comes out at 1.9 kcal/mol of atoms. The offset from the most stable computed form is 0.102 eV per atom. Its density of states at the Fermi level is 2.5 states/eV per cell.

a b c (Å): 5.520 5.520 4.108
angles (deg): 90.00 90.00 90.00
Space group I4/mmm (No. 139)
Asymmetric unit:
Y 0.000 0.000 0.000
Be 0.000 0.313 0.500